[1]
NaAlPdPb after structural relaxation. Source: OQMD, functional PBE.

abc: 6.800 6.800 6.800
angles: 90.00 90.00 90.00
Space group F-43m (No. 216)
One atom of each set of equivalent atoms:
1 Na 0.000 0.000 0.000
2 Al 0.250 0.250 0.750
3 Pd 0.000 0.000 0.500
4 Pb 0.250 0.250 0.250

Results
The calculation puts the raw total energy at -3.591 eV/atom. For the energy relative to the lowest polymorph listed for this composition, the calculation gives 0 meV per atom.

***

[2]
NaAlPdPb after structural relaxation. Source: OQMD, functional PBE.

abc: 6.936 6.936 6.936
angles: 90.00 90.00 90.00
Space group F-43m (No. 216)
One atom of each set of equivalent atoms:
1 Na 0.000 0.000 0.000
2 Al 0.250 0.250 0.250
3 Pd 0.250 0.250 0.750
4 Pb 0.000 0.000 0.500

Results
The calculation puts the raw total energy at -3.472 eV/atom. For the energy relative to the lowest polymorph listed for this composition, the calculation gives 120 meV per atom.

***

[3]
Na4Al2PdPt after structural relaxation. Source: OQMD, functional PBE.

abc: 4.674 4.674 6.598
angles: 90.00 90.00 90.00
Space group P-4m2 (No. 115)
One atom of each set of equivalent atoms:
1 Na 0.000 0.000 0.000
2 Na 0.000 0.500 0.746
3 Na 0.500 0.500 0.500
4 Al 0.000 0.500 0.240
5 Pd 0.000 0.000 0.500
6 Pt 0.500 0.500 0.000

Results
The calculation puts the raw total energy at -3.129 eV/atom. The value obtained for the magnetic moment is 0.01 μB per cell.

***

[4]
NaAlPdS3 after structural relaxation. Source: OQMD, functional PBE.

abc: 7.130 3.440 10.389
angles: 90.00 106.82 90.00
Space group P2_1/m (No. 11)
One atom of each set of equivalent atoms:
1 Na 0.245 0.250 0.228
2 Al 0.179 0.750 0.604
3 Pd 0.371 0.250 0.885
4 S 0.049 0.750 0.370
5 S 0.264 0.750 0.993
6 S 0.414 0.250 0.655

Results
The calculation puts the raw total energy at -4.492 eV/atom.

***

[5]
Na2Sc2AlSnPd2 after structural relaxation. Source: OQMD, functional PBE.

abc: 4.672 4.672 6.744
angles: 90.00 90.00 90.00
Space group P-4m2 (No. 115)
One atom of each set of equivalent atoms:
1 Na 0.000 0.500 0.241
2 Sc 0.000 0.000 0.000
3 Sc 0.500 0.500 0.500
4 Al 0.500 0.500 0.000
5 Sn 0.000 0.000 0.500
6 Pd 0.000 0.500 0.764

Results
The calculation puts the raw total energy at -4.603 eV/atom. The value obtained for the magnetic moment is 0.01 μB per cell.

***

[6]
Na4AlSiPd2 after structural relaxation. Source: OQMD, functional PBE.

abc: 4.644 4.644 6.547
angles: 90.00 90.00 90.00
Space group P-4m2 (No. 115)
One atom of each set of equivalent atoms:
1 Na 0.000 0.000 0.000
2 Na 0.000 0.500 0.245
3 Na 0.500 0.500 0.500
4 Al 0.000 0.000 0.500
5 Si 0.500 0.500 0.000
6 Pd 0.000 0.500 0.759

Results
The calculation puts the raw total energy at -3.140 eV/atom.

***

[7]
NaAlSnPd after structural relaxation. Source: OQMD, functional PBE.

abc: 6.715 6.715 6.715
angles: 90.00 90.00 90.00
Space group F-43m (No. 216)
One atom of each set of equivalent atoms:
1 Na 0.000 0.000 0.000
2 Al 0.000 0.000 0.500
3 Sn 0.250 0.250 0.750
4 Pd 0.250 0.250 0.250

Results
The calculation puts the raw total energy at -3.702 eV/atom. For the energy relative to the lowest polymorph listed for this composition, the calculation gives 62 meV per atom.

***

[8]
NaAlSnPd after structural relaxation. Source: OQMD, functional PBE.

abc: 6.764 6.764 6.764
angles: 90.00 90.00 90.00
Space group F-43m (No. 216)
One atom of each set of equivalent atoms:
1 Na 0.000 0.000 0.000
2 Al 0.250 0.250 0.750
3 Sn 0.000 0.000 0.500
4 Pd 0.250 0.250 0.250

Results
The calculation puts the raw total energy at -3.666 eV/atom. For the energy relative to the lowest polymorph listed for this composition, the calculation gives 97 meV per atom.

***

[9]
NaAlSnPd after structural relaxation. Source: OQMD, functional PBE.

abc: 6.674 6.674 6.674
angles: 90.00 90.00 90.00
Space group F-43m (No. 216)
One atom of each set of equivalent atoms:
1 Na 0.000 0.000 0.000
2 Al 0.250 0.250 0.250
3 Sn 0.250 0.250 0.750
4 Pd 0.000 0.000 0.500

Results
The calculation puts the raw total energy at -3.763 eV/atom. For the energy relative to the lowest polymorph listed for this composition, the calculation gives 0 meV per atom.

***

[10]
NaSrAl4Pd2 after structural relaxation. Source: OQMD, functional PBE.

abc: 7.338 4.281 10.725
angles: 90.00 90.00 90.00
Space group Amm2 (No. 38)
One atom of each set of equivalent atoms:
1 Na 0.000 0.000 0.000
2 Sr 0.500 0.000 0.107
3 Al 0.186 0.000 0.728
4 Al 0.303 0.000 0.388
5 Pd 0.000 0.000 0.271
6 Pd 0.500 0.000 0.833

Results
The calculation puts the raw total energy at -4.030 eV/atom.

***

[11]
Na4Al2ZnPd after structural relaxation. Source: OQMD, functional PBE.

abc: 4.813 4.813 6.817
angles: 90.00 90.00 90.00
Space group P-4m2 (No. 115)
One atom of each set of equivalent atoms:
1 Na 0.000 0.000 0.000
2 Na 0.000 0.500 0.749
3 Na 0.500 0.500 0.500
4 Al 0.000 0.500 0.268
5 Zn 0.500 0.500 0.000
6 Pd 0.000 0.000 0.500

Results
The calculation puts the raw total energy at -2.381 eV/atom.

***

[12]
Na4AlZnPd2 after structural relaxation. Source: OQMD, functional PBE.

abc: 4.740 4.740 6.692
angles: 90.00 90.00 90.00
Space group P-4m2 (No. 115)
One atom of each set of equivalent atoms:
1 Na 0.000 0.000 0.000
2 Na 0.000 0.500 0.240
3 Na 0.500 0.500 0.500
4 Al 0.000 0.000 0.500
5 Zn 0.500 0.500 0.000
6 Pd 0.000 0.500 0.729

Results
The calculation puts the raw total energy at -2.678 eV/atom.

***

[13]
NaZrAlPd after structural relaxation. Source: OQMD, functional PBE.

abc: 6.557 6.557 6.557
angles: 90.00 90.00 90.00
Space group F-43m (No. 216)
One atom of each set of equivalent atoms:
1 Na 0.000 0.000 0.000
2 Zr 0.250 0.250 0.750
3 Al 0.250 0.250 0.250
4 Pd 0.000 0.000 0.500

Results
The calculation puts the raw total energy at -4.962 eV/atom. The value obtained for the magnetic moment is 0.00 μB per cell. For the energy relative to the lowest polymorph listed for this composition, the calculation gives 0 meV per atom.

***

[14]
NaZrAlPd after structural relaxation. Source: OQMD, functional PBE.

abc: 6.708 6.708 6.708
angles: 90.00 90.00 90.00
Space group F-43m (No. 216)
One atom of each set of equivalent atoms:
1 Na 0.000 0.000 0.000
2 Zr 0.000 0.000 0.500
3 Al 0.250 0.250 0.750
4 Pd 0.250 0.250 0.250

Results
The calculation puts the raw total energy at -4.825 eV/atom. The value obtained for the magnetic moment is 0.00 μB per cell. For the energy relative to the lowest polymorph listed for this composition, the calculation gives 137 meV per atom.

***

[15]
NaPmAl after structural relaxation. Source: OQMD, functional PBE.

abc: 7.217 7.217 7.217
angles: 90.00 90.00 90.00
Space group F-43m (No. 216)
One atom of each set of equivalent atoms:
1 Na 0.000 0.000 0.000
2 Pm 0.250 0.250 0.750
3 Al 0.000 0.000 0.500

Results
The calculation puts the raw total energy at -2.739 eV/atom. The value obtained for the magnetic moment is 0.00 μB per cell.

***

[16]
Na6Al2Pt after structural relaxation. Source: OQMD, functional PBE.

abc: 8.4350 8.4350 3.1160
angles: 90.00 90.00 120.00
Space group P-62m (No. 189)
One atom of each set of equivalent atoms:
1 Na 0.0000 0.2885 0.0000
2 Na 0.0000 0.6458 0.5000
3 Al 0.3333 0.6667 0.0000
4 Pt 0.0000 0.0000 0.5000

Results
The calculation puts the raw total energy at -2.231 eV/atom. The value obtained for the magnetic moment is 0.00 μB per cell.

***

[17]
Na4AlSiPt2 after structural relaxation. Source: OQMD, functional PBE.

abc: 4.603 4.603 6.511
angles: 90.00 90.00 90.00
Space group P-4m2 (No. 115)
One atom of each set of equivalent atoms:
1 Na 0.000 0.000 0.000
2 Na 0.000 0.500 0.747
3 Na 0.500 0.500 0.500
4 Al 0.500 0.500 0.000
5 Si 0.000 0.000 0.500
6 Pt 0.000 0.500 0.258

Results
The calculation puts the raw total energy at -3.445 eV/atom. The value obtained for the magnetic moment is 0.00 μB per cell.

***

[18]
NaAlSiPt after structural relaxation. Source: OQMD, functional PBE.

abc: 6.340 6.340 6.340
angles: 90.00 90.00 90.00
Space group F-43m (No. 216)
One atom of each set of equivalent atoms:
1 Na 0.000 0.000 0.000
2 Al 0.250 0.250 0.750
3 Si 0.000 0.000 0.500
4 Pt 0.250 0.250 0.250

Results
The calculation puts the raw total energy at -4.131 eV/atom. The value obtained for the magnetic moment is 0.00 μB per cell. For the energy relative to the lowest polymorph listed for this composition, the calculation gives 244 meV per atom.

***

[19]
NaAlSiPt after structural relaxation. Source: OQMD, functional PBE.

abc: 6.370 6.370 6.370
angles: 90.00 90.00 90.00
Space group F-43m (No. 216)
One atom of each set of equivalent atoms:
1 Na 0.000 0.000 0.000
2 Al 0.000 0.000 0.500
3 Si 0.250 0.250 0.750
4 Pt 0.250 0.250 0.250

Results
The calculation puts the raw total energy at -4.192 eV/atom. The value obtained for the magnetic moment is 0.00 μB per cell. For the energy relative to the lowest polymorph listed for this composition, the calculation gives 183 meV per atom.

***

[20]
NaAlSiPt after structural relaxation. Source: OQMD, functional PBE.

abc: 6.271 6.271 6.271
angles: 90.00 90.00 90.00
Space group F-43m (No. 216)
One atom of each set of equivalent atoms:
1 Na 0.000 0.000 0.000
2 Al 0.250 0.250 0.250
3 Si 0.250 0.250 0.750
4 Pt 0.000 0.000 0.500

Results
The calculation puts the raw total energy at -4.374 eV/atom. The value obtained for the magnetic moment is 0.00 μB per cell. For the energy relative to the lowest polymorph listed for this composition, the calculation gives 0 meV per atom.

***

[21]
NaPuAl after structural relaxation. Source: OQMD, functional PBE.

abc: 6.969 6.969 6.969
angles: 90.00 90.00 90.00
Space group F-43m (No. 216)
One atom of each set of equivalent atoms:
1 Na 0.000 0.000 0.000
2 Pu 0.250 0.250 0.250
3 Al 0.250 0.250 0.750

Results
The calculation puts the raw total energy at -5.659 eV/atom. The value obtained for the magnetic moment is 26.78 μB per cell. For the energy relative to the lowest polymorph listed for this composition, the calculation gives 0 meV per atom.

***

[22]
NaPuAl after structural relaxation. Source: OQMD, functional PBE.

abc: 7.212 7.212 7.212
angles: 90.00 90.00 90.00
Space group F-43m (No. 216)
One atom of each set of equivalent atoms:
1 Na 0.000 0.000 0.000
2 Pu 0.250 0.250 0.250
3 Al 0.000 0.000 0.500

Results
The calculation puts the raw total energy at -5.607 eV/atom. The value obtained for the magnetic moment is 27.72 μB per cell. For the energy relative to the lowest polymorph listed for this composition, the calculation gives 51 meV per atom.

***

[23]
NaAlRe2 after structural relaxation. Source: OQMD, functional PBE.

abc: 6.223 6.223 6.223
angles: 90.00 90.00 90.00
Space group F-43m (No. 216)
One atom of each set of equivalent atoms:
1 Na 0.000 0.000 0.000
2 Al 0.250 0.250 0.250
3 Re 0.000 0.000 0.500
4 Re 0.250 0.250 0.750

Results
The calculation puts the raw total energy at -7.100 eV/atom. The value obtained for the magnetic moment is 0.02 μB per cell.

***

[24]
NaAlRe after structural relaxation. Source: OQMD, functional PBE.

abc: 6.231 6.231 6.231
angles: 90.00 90.00 90.00
Space group F-43m (No. 216)
One atom of each set of equivalent atoms:
1 Na 0.000 0.000 0.000
2 Al 0.250 0.250 0.250
3 Re 0.000 0.000 0.500

Results
The calculation puts the raw total energy at -4.561 eV/atom. The value obtained for the magnetic moment is 7.49 μB per cell. For the energy relative to the lowest polymorph listed for this composition, the calculation gives 0 meV per atom.

***

[25]
NaZrAlS3 after structural relaxation. Source: OQMD, functional PBE.

abc: 3.565 13.756 10.043
angles: 90.00 90.00 90.00
Space group Cmcm (No. 63)
One atom of each set of equivalent atoms:
1 Na 0.000 0.249 0.250
2 Zr 0.000 0.500 0.000
3 Al 0.000 0.040 0.750
4 S 0.000 0.137 0.570
5 S 0.000 0.431 0.750

Results
The calculation puts the raw total energy at -5.427 eV/atom. The value obtained for the magnetic moment is 0.18 μB per cell.

***

[26]
NaTbAlSe3 after structural relaxation. Source: OQMD, functional PBE.

abc: 3.998 14.007 10.952
angles: 90.00 90.00 90.00
Space group Cmcm (No. 63)
One atom of each set of equivalent atoms:
1 Na 0.000 0.246 0.250
2 Tb 0.000 0.000 0.000
3 Al 0.000 0.465 0.750
4 Se 0.000 0.071 0.750
5 Se 0.000 0.358 0.578

Results
The calculation puts the raw total energy at -4.531 eV/atom. The value obtained for the magnetic moment is 0.03 μB per cell.

***

[27]
NaSmAlTe3 after structural relaxation. Source: OQMD, functional PBE.

abc: 4.238 15.134 11.596
angles: 90.00 90.00 90.00
Space group Cmcm (No. 63)
One atom of each set of equivalent atoms:
1 Na 0.000 0.238 0.250
2 Sm 0.000 0.000 0.000
3 Al 0.000 0.467 0.750
4 Te 0.000 0.084 0.750
5 Te 0.000 0.354 0.572

Results
The calculation puts the raw total energy at -4.035 eV/atom. The value obtained for the magnetic moment is 0.04 μB per cell.

***

Short version: theoretical density = 7.7; 7.2; 5.2; 3.4; 5.6; 4.2; 6.0; 5.9; 6.1; 4.3; 3.3; 4.4; 5.8; 5.4; 3.4; 3.3; 6.5; 7.1; 7.0; 7.4; 5.8; 5.2; 11.6; 6.5; 3.2; 4.8; 5.2 g cm⁻³, in the order given.